Material: RbTcH2F8
Method: DFT, PBE
State: relaxed

Unit cell a=4.9812 b=5.0155 c=8.0507 alpha=99.93 beta=91.38 gamma=110.36
Space group P-1 (No. 2)
Unique sites:
1 Rb 0.0000 0.0000 0.0000 (multiplicity 1)
2 Tc 0.0000 0.0000 0.5000 (multiplicity 1)
3 H 0.4733 0.6881 0.1983 (multiplicity 2)
4 F 0.2225 0.7665 0.4919 (multiplicity 2)
5 F 0.2309 0.2072 0.3486 (multiplicity 2)
6 F 0.2470 0.2602 0.7004 (multiplicity 2)
7 F 0.3284 0.6625 0.1070 (multiplicity 2)

Output
The total energy comes out at -4.826 eV per atom. For the density of states at the Fermi level, the calculation gives 0.374 states/eV/atom. The value obtained for the calculated density is 3.0 g/cm3.